1.
Y2Sc4Cd | PBE-GGA | optimized geometry

Cell: 3.3401 3.3290 16.6821 Å, 90.00 95.75 90.00°
Closest atoms and distances in Å follow each position.
Positions (direct):
Y1 0.7970 0.5000 0.5941  6 Y 3.33-3.54, 4 Sc 3.39
Y2 0.2030 0.5000 0.4059  6 Y 3.33-3.54, 4 Sc 3.39
Sc1 0.9390 0.5000 0.8779  4 Cd 3.11, 8 Sc 3.27-3.34
Sc2 0.6294 0.0000 0.2588  8 Sc 3.27-3.34, 4 Y 3.39
Sc3 0.0610 0.5000 0.1221  4 Cd 3.11, 8 Sc 3.27-3.34
Sc4 0.3706 0.0000 0.7412  8 Sc 3.27-3.34, 4 Y 3.39
Cd1 0.5000 0.0000 0.0000  8 Sc 3.11, 4 Cd 3.33-3.34

Computed properties:
space-group type	Cmmm (65)
crystal system	orthorhombic

---

2.
Y3Sc2Cd2 | PBE-GGA | optimized geometry

Cell: 4.9088 3.4359 11.3267 Å, 90.00 77.49 90.00°
Closest atoms and distances in Å follow each position.
Positions (direct):
Y1 0.8479 0.0000 0.3042  6 Sc 3.29-3.42, 3 Y 3.36-3.44, 4 Cd 3.48
Y2 0.0000 0.0000 0.0000  4 Y 3.36-3.44, 8 Cd 3.40
Y3 0.1521 0.0000 0.6958  6 Sc 3.29-3.42, 3 Y 3.36-3.44, 4 Cd 3.48
Sc1 0.7139 0.5000 0.5721  2 Sc 2.93, 1 Cd 3.13
Sc2 0.2861 0.5000 0.4279  2 Sc 2.93, 1 Cd 3.13
Cd1 0.5723 0.5000 0.8554  1 Sc 3.13, 3 Cd 3.20-3.44, 8 Y 3.40-3.48
Cd2 0.4277 0.5000 0.1446  1 Sc 3.13, 3 Cd 3.20-3.44, 8 Y 3.40-3.48

Computed properties:
space-group type	Cmmm (65)
crystal system	orthorhombic

---

3.
YScCd | PBE-GGA | optimized geometry

Cell: 3.4277 3.4281 13.2905 Å, 89.99 89.96 90.00°
Closest atoms and distances in Å follow each position.
Positions (direct):
Y1 0.8727 0.2920 0.4938  4 Cd 3.28-3.29, 4 Sc 3.42, 4 Y 3.43
Y2 0.3721 0.7904 0.0185  4 Cd 3.28-3.29, 4 Sc 3.42, 4 Y 3.43
Sc1 0.8723 0.2905 0.8368  8 Sc 3.23-3.43, 4 Y 3.42
Sc2 0.3726 0.7914 0.6755  8 Sc 3.23-3.43, 4 Y 3.42
Cd1 0.8724 0.2905 0.1853  8 Cd 3.07-3.43, 4 Y 3.28-3.29
Cd2 0.3725 0.7919 0.3270  8 Cd 3.07-3.43, 4 Y 3.28-3.29

Computed properties:
space-group type	C2/m (12)
crystal system	monoclinic
excess energy over the best structure of this formula in the dataset	116	meV/atom

---

4.
YSc2Cd | PBE-GGA | optimized geometry

Cell: 3.4289 3.4289 10.4617 Å, 80.57 80.57 60.00°
Closest atoms and distances in Å follow each position.
Positions (direct):
Y1 0.5003 0.5003 0.4992  6 Sc 3.39-3.40, 6 Y 3.43
Sc1 0.0772 0.0772 0.7683  3 Cd 3.10, 3 Y 3.40, 6 Sc 3.43
Sc2 0.2561 0.2561 0.2317  3 Cd 3.09, 3 Y 3.39, 6 Sc 3.43
Cd1 0.6664 0.6664 0.0008  6 Sc 3.09-3.10, 6 Cd 3.43

Computed properties:
space-group type	R3m (160)
crystal system	trigonal

---

5.
YScCd | PBE-GGA | optimized geometry

Cell: 6.7927 3.4864 7.0465 Å, 90.02 105.11 104.87°
Closest atoms and distances in Å follow each position.
Positions (direct):
Sc1 0.0579 0.7306 0.6290  4 Cd 3.11-3.12, 2 Sc 3.29-3.30, 3 Y 3.40-3.47
Sc2 0.4085 0.4057 0.4752  4 Cd 3.11-3.12, 2 Sc 3.29-3.30, 3 Y 3.40-3.47
Y1 0.4269 0.4152 0.9715  4 Cd 3.25-3.26, 4 Sc 3.40-3.58, 4 Y 3.49-3.52
Y2 0.0394 0.7211 0.1328  4 Cd 3.25-3.26, 4 Sc 3.40-3.58, 4 Y 3.49-3.52
Cd1 0.7386 0.0706 0.7765  4 Sc 3.11-3.12, 1 Cd 3.14, 4 Y 3.25-3.26
Cd2 0.7278 0.0654 0.3278  4 Sc 3.11-3.12, 1 Cd 3.14, 4 Y 3.25-3.26

Computed properties:
space-group type	C2/m (12)
crystal system	monoclinic
excess energy over the best structure of this formula in the dataset	33	meV/atom

---

6.
YSc2Cd | PBE-GGA | optimized geometry

Cell: 4.6743 4.6238 4.6238 Å, 90.00 90.00 90.00°
Closest atoms and distances in Å follow each position.
Positions (direct):
Y1 0.5000 0.5000 0.5000  4 Cd 3.27, 8 Sc 3.29
Sc1 0.0000 0.0000 0.5000  4 Sc 3.27, 4 Cd 3.29, 4 Y 3.29
Sc2 0.0000 0.5000 0.0000  4 Sc 3.27, 4 Y 3.29, 4 Cd 3.29
Cd1 0.5000 0.0000 0.0000  4 Y 3.27, 8 Sc 3.29

Computed properties:
space-group type	P4/mmm (123)
crystal system	tetragonal

---

Number 1: total magnetic moment 0.1 μB per formula unit, energy of formation from the pure elements 6 meV/atom. Number 2: total magnetic moment 0.0 μB per formula unit, energy of formation from the pure elements -103 meV/atom. Number 3: total magnetic moment 0.0 μB per formula unit, energy of formation from the pure elements -100 meV/atom. Number 4: total magnetic moment 0.9 μB per formula unit, energy of formation from the pure elements -30 meV/atom. Number 5: total magnetic moment 1.2 μB per formula unit, energy of formation from the pure elements -183 meV/atom. Number 6: total magnetic moment 0.7 μB per formula unit, energy of formation from the pure elements -99 meV/atom.